Entry 1:
The following is a GGA-PBE calculation of crystalline CsKScI6 at its relaxed geometry, from Alexandria via LeMat-Bulk.

The structure in POSCAR format:
```
CsKScI6
1.0
-1.804 2.821 7.892
-3.478 -5.312 5.761
7.375 -2.163 2.459
Cs I K Sc
1 6 1 1
Cartesian
3.897 -7.475 8.219
0.921 -2.206 3.088
2.963 -1.541 8.451
2.969 -4.607 5.738
4.405 -0.924 4.670
0.855 0.769 5.901
-0.550 -2.963 6.834
0.167 -2.742 10.331
1.927 -1.912 5.780
```

Properties
Spin magnetization (μB per formula unit): 1.194
Raw formation energy (eV/atom): -1.134
D(E_F) (states/eV/atom): 1.5726

***

Entry 2:
The following is a GGA-PBE calculation of crystalline PrDyTlRu at its relaxed geometry, from Alexandria via LeMat-Bulk.

The structure in POSCAR format:
```
PrDyTlRu
1.0
5.190 0.000 0.000
2.595 4.494 0.000
2.595 1.498 4.237
Ru Tl Dy Pr
1 1 1 1
Cartesian
2.595 1.498 1.059
7.785 4.494 3.178
0.000 0.000 0.000
5.190 2.996 2.119
```

Properties
Energy relative to the elements (kJ/mol of formula units): -66.7
Spin magnetization (μB per formula unit): 0.000
D(E_F) (states/eV/atom): 0.5687